Record 1
# Eu2Nb5O9

An optimized crystal structure of Eu2Nb5O9 (PBE, Alexandria).

Geometry as extended XYZ:
```
16
Lattice="4.195 0.000 0.000 0.000 4.195 0.000 0.000 0.000 12.149" Properties=species:S:1:pos:R:3 pbc="T T T"
Eu 0.000 0.000 2.063
Eu 0.000 0.000 10.087
Nb 0.000 2.097 6.075
Nb 2.097 0.000 6.075
Nb 2.097 2.097 0.000
Nb 2.097 2.097 4.069
Nb 2.097 2.097 8.080
O 0.000 0.000 6.075
O 0.000 2.097 0.000
O 0.000 2.097 3.910
O 0.000 2.097 8.239
O 2.097 0.000 0.000
O 2.097 0.000 3.910
O 2.097 0.000 8.239
O 2.097 2.097 1.971
O 2.097 2.097 10.178
```

Summary:
Raw formation energy = -2.45 eV/atom
Magnetic moment = 13.838 μB/cell
V = 214 Å³ per cell

Record 2
# Pm7SnPb2

An optimized crystal structure of Pm7SnPb2 (PBE, Alexandria).

Geometry as extended XYZ:
```
10
Lattice="5.475 0.000 0.000 -2.738 4.742 0.000 0.000 0.000 12.774" Properties=species:S:1:pos:R:3 pbc="T T T"
Pm 0.000 0.000 0.000
Pm 0.000 0.000 3.217
Pm 0.000 0.000 9.469
Pm 0.000 3.161 5.159
Pm 0.000 3.161 11.225
Pm 2.738 1.581 1.607
Pm 2.738 1.581 7.444
Sn 0.000 3.161 1.824
Pb 0.000 0.000 6.346
Pb 2.738 1.581 10.848
```

Summary:
Magnetic moment = 0.025 μB/cell
V = 332 Å³ per cell
Formation energy from the elements = -0.28 eV per atom

Record 3
# K5HgO4

An optimized crystal structure of K5HgO4 (PBE, Alexandria).

Geometry as extended XYZ:
```
10
Lattice="7.161 -2.044 0.000 7.161 2.044 0.000 -3.419 0.000 8.385" Properties=species:S:1:pos:R:3 pbc="T T T"
K 0.000 0.000 0.000
K 3.514 0.000 1.452
K 2.723 0.000 5.377
K 8.179 0.000 3.008
K 7.388 0.000 6.932
Hg -1.709 0.000 4.192
O 0.240 0.000 4.615
O 1.972 0.000 7.906
O 8.931 0.000 0.479
O 10.662 0.000 3.770
```

Summary:
Raw formation energy = -0.98 eV/atom
Magnetic moment = 1.003 μB/cell
Distance to the lowest polymorph of the same formula = 0 meV/atom
V = 245 Å³ per cell

Record 4
# KSr2B

An optimized crystal structure of KSr2B (PBE, Alexandria).

Geometry as extended XYZ:
```
8
Lattice="-4.726 4.726 3.840 4.726 -4.726 3.840 4.726 4.726 -3.840" Properties=species:S:1:pos:R:3 pbc="T T T"
K 0.000 0.000 0.000
K 0.000 4.726 1.920
Sr 2.363 -1.119 2.880
Sr 3.607 2.363 0.960
Sr 2.363 5.845 -0.960
Sr 1.119 2.363 4.800
B 4.726 0.000 1.920
B 0.000 0.000 3.840
```

Summary:
Magnetic moment = 0.000 μB/cell
Distance to the lowest polymorph of the same formula = 0 meV/atom
V = 343 Å³ per cell
Formation energy from the elements = 0.63 eV per atom

Record 5
# YBe2Ag

An optimized crystal structure of YBe2Ag (PBE, Alexandria).

Geometry as extended XYZ:
```
4
Lattice="3.484 -2.010 0.000 3.484 2.010 0.000 -2.313 0.000 4.844" Properties=species:S:1:pos:R:3 pbc="T T T"
Y 0.000 0.000 0.000
Be 0.007 0.000 2.880
Be 4.649 0.000 1.964
Ag 2.328 0.000 2.422
```

Summary:
Magnetic moment = 0.000 μB/cell
Distance to the lowest polymorph of the same formula = 0 meV/atom
V = 68 Å³ per cell
Formation energy from the elements = -0.01 eV per atom

Record 6
# Mg3Tl2Pb8

An optimized crystal structure of Mg3Tl2Pb8 (PBE, Alexandria).

Geometry as extended XYZ:
```
13
Lattice="8.106 -5.049 0.000 8.106 5.049 0.000 -0.003 0.000 5.056" Properties=species:S:1:pos:R:3 pbc="T T T"
Mg 0.000 0.000 0.000
Mg 8.104 2.655 2.528
Mg 8.104 -2.655 2.528
Tl 4.085 0.000 0.004
Tl 12.124 0.000 5.052
Pb 2.032 0.000 2.530
Pb 6.279 2.422 5.055
Pb 9.930 2.422 0.001
Pb 6.375 0.000 2.530
Pb 9.834 0.000 2.526
Pb 6.279 -2.422 5.055
Pb 9.930 -2.422 0.001
Pb 14.177 0.000 2.526
```

Summary:
Magnetic moment = 0.000 μB/cell
V = 414 Å³ per cell
Formation energy from the elements = 0.04 eV per atom

Record 7
# BeAg

An optimized crystal structure of BeAg (PBE, Alexandria).

Geometry as extended XYZ:
```
4
Lattice="3.888 0.000 0.000 -1.944 3.367 0.000 0.000 0.000 4.382" Properties=species:S:1:pos:R:3 pbc="T T T"
Be 0.000 0.000 0.000
Be 0.000 0.000 2.191
Ag 0.000 2.245 1.096
Ag 1.944 1.122 3.287
```

Summary:
Magnetic moment = 0.000 μB/cell
V = 57 Å³ per cell
Formation energy from the elements = 0.40 eV per atom

Record 8
# K2UTiTe4

An optimized crystal structure of K2UTiTe4 (PBE, Alexandria).

Geometry as extended XYZ:
```
8
Lattice="7.419 0.000 0.000 0.000 4.350 0.000 -2.524 0.000 8.307" Properties=species:S:1:pos:R:3 pbc="T T T"
K 0.000 0.000 0.000
K 3.709 2.175 0.000
U -1.262 2.175 4.153
Ti 2.447 0.000 4.153
Te 0.091 0.000 5.876
Te 1.337 2.175 2.519
Te 3.557 2.175 5.788
Te 4.804 0.000 2.431
```

Summary:
Raw formation energy = -0.84 eV/atom
Magnetic moment = 4.001 μB/cell
V = 268 Å³ per cell